{"formula": "Pm4YTh3", "functional": "PBE", "state": "relaxed", "space_group": "Pmmn", "vol_a3_per_cell": 534, "magmom_total_mub_per_atom": 0.00, "e_form_ev_per_fu": 0.3, "dos_ef_per_ev_atom": 1.43, "crystal_system": "orthorhombic", "total_energy_ev_per_cell": -94.88, "lattice_angstrom": [[5.090, 0.000, 0.000], [0.000, 10.201, 0.000], [0.000, 0.000, 10.277]], "species": ["Pm", "Pm", "Pm", "Pm", "Pm", "Pm", "Pm", "Pm", "Y", "Y", "Th", "Th", "Th", "Th", "Th", "Th"], "fractional_positions": [[0.250, 0.001, 0.132], [0.250, 0.250, 0.871], [0.250, 0.499, 0.132], [0.250, 0.750, 0.864], [0.750, 0.250, 0.136], [0.750, 0.501, 0.868], [0.750, 0.750, 0.129], [0.750, 0.999, 0.868], [0.250, 0.750, 0.381], [0.750, 0.250, 0.619], [0.250, 0.250, 0.380], [0.250, 0.503, 0.619], [0.250, 0.997, 0.619], [0.750, 0.003, 0.381], [0.750, 0.497, 0.381], [0.750, 0.750, 0.620]]}

=====

{"formula": "TaAgSe3", "functional": "PBE", "state": "relaxed", "e_form_raw_ev_per_atom": -0.4376, "space_group": "P2_1/c", "vol_a3_per_cell": 489, "magmom_total_mub_per_atom": 0.00, "crystal_system": "monoclinic", "total_energy_ev_per_cell": -109.38, "lattice_angstrom": [[7.816, 0.000, 0.000], [0.000, 6.555, 0.000], [-0.934, 0.000, 9.534]], "species": ["Ta", "Ta", "Ta", "Ta", "Ag", "Ag", "Ag", "Ag", "Se", "Se", "Se", "Se", "Se", "Se", "Se", "Se", "Se", "Se", "Se", "Se"], "fractional_positions": [[0.098, 0.247, 0.058], [0.098, 0.253, 0.558], [0.902, 0.747, 0.442], [0.902, 0.753, 0.942], [0.490, 0.212, 0.429], [0.490, 0.288, 0.929], [0.510, 0.712, 0.071], [0.510, 0.788, 0.571], [0.075, 0.064, 0.335], [0.075, 0.436, 0.835], [0.211, 0.583, 0.477], [0.211, 0.917, 0.977], [0.373, 0.129, 0.679], [0.373, 0.371, 0.179], [0.627, 0.629, 0.821], [0.627, 0.871, 0.321], [0.789, 0.083, 0.023], [0.789, 0.417, 0.523], [0.925, 0.564, 0.165], [0.925, 0.936, 0.665]]}

=====

{"formula": "AcZn3Ge2", "functional": "PBE", "state": "relaxed", "space_group": "C2/m", "vol_a3_per_cell": 249, "magmom_total_mub_per_atom": 0.00, "e_form_ev_per_fu": -1.8, "dos_ef_per_ev_atom": 0.36, "crystal_system": "monoclinic", "total_energy_ev_per_cell": -37.86, "lattice_angstrom": [[8.393, -2.150, 0.000], [8.393, 2.150, 0.000], [-3.473, 0.000, 6.893]], "species": ["Ac", "Ac", "Zn", "Zn", "Zn", "Zn", "Zn", "Zn", "Ge", "Ge", "Ge", "Ge"], "fractional_positions": [[0.144, 0.144, 0.057], [0.856, 0.856, 0.943], [0.043, 0.043, 0.395], [0.313, 0.313, 0.547], [0.401, 0.401, 0.322], [0.599, 0.599, 0.678], [0.687, 0.687, 0.453], [0.957, 0.957, 0.605], [0.201, 0.201, 0.693], [0.480, 0.480, 0.813], [0.520, 0.520, 0.187], [0.799, 0.799, 0.307]]}

=====

{"formula": "Cs3Tb2HoSe6", "functional": "PBE", "state": "relaxed", "e_form_raw_ev_per_atom": -1.7285, "space_group": "C2/m", "vol_a3_per_cell": 397, "magmom_total_mub_per_atom": 0.00, "dos_ef_per_ev_atom": 0.00, "crystal_system": "monoclinic", "total_energy_ev_per_cell": -58.05, "lattice_angstrom": [[3.700, -6.409, 0.000], [3.700, 6.409, 0.000], [-2.467, 0.000, 8.376]], "species": ["Cs", "Cs", "Cs", "Tb", "Tb", "Ho", "Se", "Se", "Se", "Se", "Se", "Se"], "fractional_positions": [[0.000, 0.000, 0.000], [0.333, 0.667, 0.000], [0.667, 0.333, 0.000], [0.167, 0.833, 0.500], [0.833, 0.167, 0.500], [0.500, 0.500, 0.500], [0.107, 0.438, 0.314], [0.231, 0.231, 0.686], [0.438, 0.107, 0.314], [0.562, 0.893, 0.686], [0.769, 0.769, 0.314], [0.893, 0.562, 0.686]]}

=====

{"formula": "Li2SmHg2", "functional": "PBE", "state": "relaxed", "space_group": "C2/m", "vol_a3_per_cell": 103, "magmom_total_mub_per_atom": 0.00, "e_form_ev_per_fu": -1.7, "dos_ef_per_ev_atom": 0.39, "crystal_system": "monoclinic", "total_energy_ev_per_cell": -10.90, "lattice_angstrom": [[4.289, -2.476, 0.000], [4.289, 2.476, 0.000], [-2.839, 0.000, 4.839]], "species": ["Li", "Li", "Sm", "Hg", "Hg"], "fractional_positions": [[0.083, 0.083, 0.248], [0.917, 0.917, 0.752], [0.500, 0.500, 0.500], [0.277, 0.277, 0.833], [0.723, 0.723, 0.167]]}

=====

{"formula": "MgNbCd3", "functional": "PBE", "state": "relaxed", "space_group": "Pm-3m", "vol_a3_per_cell": 160, "magmom_total_mub_per_atom": 0.38, "e_form_ev_per_fu": 4.8, "dos_ef_per_ev_atom": 1.17, "crystal_system": "cubic", "total_energy_ev_per_cell": -9.58, "lattice_angstrom": [[5.426, 0.000, 0.000], [0.000, 5.426, 0.000], [0.000, 0.000, 5.426]], "species": ["Mg", "Nb", "Cd", "Cd", "Cd"], "fractional_positions": [[0.000, 0.000, 0.000], [0.500, 0.500, 0.500], [0.000, 0.500, 0.500], [0.500, 0.000, 0.500], [0.500, 0.500, 0.000]]}

=====

{"formula": "PmDy4Y3", "functional": "PBE", "state": "relaxed", "space_group": "Pmn2_1", "vol_a3_per_cell": 521, "magmom_total_mub_per_atom": 0.00, "e_form_ev_per_fu": 0.1, "dos_ef_per_ev_atom": 1.68, "crystal_system": "orthorhombic", "total_energy_ev_per_cell": -84.98, "lattice_angstrom": [[11.317, 0.000, 0.000], [0.000, 7.303, 0.000], [0.000, 0.000, 6.306]], "species": ["Pm", "Pm", "Dy", "Dy", "Dy", "Dy", "Dy", "Dy", "Dy", "Dy", "Y", "Y", "Y", "Y", "Y", "Y"], "fractional_positions": [[0.000, 0.127, 0.000], [0.500, 0.873, 0.500], [0.000, 0.376, 0.504], [0.000, 0.623, 0.003], [0.249, 0.623, 0.335], [0.251, 0.377, 0.835], [0.500, 0.377, 0.503], [0.500, 0.624, 0.004], [0.749, 0.377, 0.835], [0.751, 0.623, 0.335], [0.000, 0.874, 0.500], [0.250, 0.127, 0.336], [0.250, 0.873, 0.836], [0.500, 0.126, 0.000], [0.750, 0.127, 0.336], [0.750, 0.873, 0.836]]}

=====

{"formula": "RbTl4F12", "functional": "PBE", "state": "relaxed", "e_form_raw_ev_per_atom": -1.9430, "space_group": "Im-3", "vol_a3_per_cell": 351, "magmom_total_mub_per_atom": 0.00, "dos_ef_per_ev_atom": 0.15, "crystal_system": "cubic", "total_energy_ev_per_cell": -65.92, "lattice_angstrom": [[-4.445, 4.445, 4.445], [4.445, -4.445, 4.445], [4.445, 4.445, -4.445]], "species": ["Rb", "Tl", "Tl", "Tl", "Tl", "F", "F", "F", "F", "F", "F", "F", "F", "F", "F", "F", "F"], "fractional_positions": [[0.000, 0.000, 0.000], [0.000, 0.000, 0.500], [0.000, 0.500, 0.000], [0.500, 0.000, 0.000], [0.500, 0.500, 0.500], [0.028, 0.774, 0.254], [0.226, 0.254, 0.480], [0.226, 0.746, 0.972], [0.254, 0.028, 0.774], [0.254, 0.480, 0.226], [0.480, 0.226, 0.254], [0.520, 0.774, 0.746], [0.746, 0.520, 0.774], [0.746, 0.972, 0.226], [0.774, 0.254, 0.028], [0.774, 0.746, 0.520], [0.972, 0.226, 0.746]]}

=====

{"formula": "ScPOs2", "functional": "PBE", "state": "relaxed", "space_group": "I-4m2", "vol_a3_per_cell": 59, "magmom_total_mub_per_atom": 0.00, "e_form_ev_per_fu": -0.2, "dos_ef_per_ev_atom": 0.47, "crystal_system": "tetragonal", "total_energy_ev_per_cell": -34.45, "lattice_angstrom": [[-1.855, 1.855, 4.255], [1.855, -1.855, 4.255], [1.855, 1.855, -4.255]], "species": ["Sc", "P", "Os", "Os"], "fractional_positions": [[0.000, 0.000, 0.000], [0.750, 0.250, 0.500], [0.250, 0.750, 0.500], [0.500, 0.500, 0.000]]}

=====

{"formula": "Dy8IrPt2", "functional": "PBE", "state": "relaxed", "space_group": "Cm", "vol_a3_per_cell": 301, "magmom_total_mub_per_atom": 0.00, "e_form_ev_per_fu": -6.4, "dos_ef_per_ev_atom": 1.06, "crystal_system": "monoclinic", "total_energy_ev_per_cell": -64.16, "lattice_angstrom": [[4.216, -6.294, 0.000], [4.216, 6.294, 0.000], [-2.045, 0.000, 5.665]], "species": ["Dy", "Dy", "Dy", "Dy", "Dy", "Dy", "Dy", "Dy", "Ir", "Pt", "Pt"], "fractional_positions": [[0.000, 0.000, 0.000], [0.017, 0.275, 0.587], [0.146, 0.566, 0.179], [0.275, 0.017, 0.587], [0.432, 0.690, 0.793], [0.566, 0.146, 0.179], [0.690, 0.432, 0.793], [0.709, 0.709, 0.359], [0.355, 0.355, 0.004], [0.037, 0.665, 0.680], [0.665, 0.037, 0.680]]}

=====

{"formula": "SnBi2S2", "functional": "PBE", "state": "relaxed", "e_form_raw_ev_per_atom": 0.0252, "space_group": "P4/mbm", "vol_a3_per_cell": 261, "magmom_total_mub_per_atom": 0.00, "dos_ef_per_ev_atom": 0.49, "crystal_system": "tetragonal", "total_energy_ev_per_cell": -39.79, "lattice_angstrom": [[8.400, 0.000, 0.000], [0.000, 8.400, 0.000], [0.000, 0.000, 3.696]], "species": ["Sn", "Sn", "Bi", "Bi", "Bi", "Bi", "S", "S", "S", "S"], "fractional_positions": [[0.000, 0.000, 0.000], [0.500, 0.500, 0.000], [0.187, 0.313, 0.500], [0.313, 0.813, 0.500], [0.687, 0.187, 0.500], [0.813, 0.687, 0.500], [0.144, 0.644, 0.000], [0.356, 0.144, 0.000], [0.644, 0.856, 0.000], [0.856, 0.356, 0.000]]}

=====

{"formula": "CoSi2Os", "functional": "PBE", "state": "relaxed", "e_form_raw_ev_per_atom": -0.0965, "space_group": "Pmmm", "vol_a3_per_cell": 51, "magmom_total_mub_per_atom": 0.02, "dos_ef_per_ev_atom": 0.90, "crystal_system": "orthorhombic", "total_energy_ev_per_cell": -29.57, "lattice_angstrom": [[2.793, 0.000, 0.000], [0.000, 3.719, 0.000], [0.000, 0.000, 4.904]], "species": ["Co", "Si", "Si", "Os"], "fractional_positions": [[0.000, 0.000, 0.000], [0.000, 0.500, 0.254], [0.000, 0.500, 0.746], [0.500, 0.000, 0.500]]}

=====

{"formula": "LaIr3", "functional": "PBE", "state": "relaxed", "space_group": "P6_3/mmc", "vol_a3_per_cell": 148, "magmom_total_mub_per_atom": 0.00, "e_form_ev_per_fu": -0.4, "dos_ef_per_ev_atom": 1.20, "crystal_system": "hexagonal", "total_energy_ev_per_cell": -63.92, "lattice_angstrom": [[6.038, 0.000, 0.000], [-3.019, 5.229, 0.000], [0.000, 0.000, 4.682]], "species": ["La", "La", "Ir", "Ir", "Ir", "Ir", "Ir", "Ir"], "fractional_positions": [[0.333, 0.667, 0.250], [0.667, 0.333, 0.750], [0.150, 0.300, 0.750], [0.150, 0.850, 0.750], [0.300, 0.150, 0.250], [0.700, 0.850, 0.750], [0.850, 0.150, 0.250], [0.850, 0.700, 0.250]]}

=====

{"formula": "SrLa3Hg2", "functional": "PBE", "state": "relaxed", "space_group": "Pmc2_1", "vol_a3_per_cell": 403, "magmom_total_mub_per_atom": 0.00, "e_form_ev_per_fu": -2.0, "dos_ef_per_ev_atom": 1.01, "crystal_system": "orthorhombic", "total_energy_ev_per_cell": -38.17, "lattice_angstrom": [[5.421, 0.000, 0.000], [0.000, 9.831, 0.000], [0.000, 0.000, 7.560]], "species": ["Sr", "Sr", "La", "La", "La", "La", "La", "La", "Hg", "Hg", "Hg", "Hg"], "fractional_positions": [[0.000, 0.057, 0.000], [0.000, 0.943, 0.500], [0.000, 0.336, 0.657], [0.000, 0.664, 0.157], [0.500, 0.173, 0.320], [0.500, 0.438, 0.981], [0.500, 0.562, 0.481], [0.500, 0.827, 0.820], [0.000, 0.347, 0.235], [0.000, 0.653, 0.735], [0.500, 0.152, 0.741], [0.500, 0.848, 0.241]]}

=====

{"formula": "Ac2In6Pt", "functional": "PBE", "state": "relaxed", "space_group": "Amm2", "vol_a3_per_cell": 264, "magmom_total_mub_per_atom": 0.00, "e_form_ev_per_fu": -3.5, "dos_ef_per_ev_atom": 0.71, "crystal_system": "orthorhombic", "total_energy_ev_per_cell": -34.22, "lattice_angstrom": [[4.142, 0.000, 0.000], [0.000, 2.354, 13.519], [0.000, -2.354, 13.519]], "species": ["Ac", "Ac", "In", "In", "In", "In", "In", "In", "Pt"], "fractional_positions": [[0.000, 0.000, 0.000], [0.000, 0.323, 0.323], [0.000, 0.611, 0.611], [0.000, 0.723, 0.723], [0.500, 0.107, 0.107], [0.500, 0.215, 0.215], [0.500, 0.437, 0.437], [0.500, 0.876, 0.876], [0.500, 0.539, 0.539]]}

=====

{"formula": "Ac2TbPr3Se6", "functional": "PBE", "state": "relaxed", "e_form_raw_ev_per_atom": -1.8267, "space_group": "C2/m", "vol_a3_per_cell": 339, "magmom_total_mub_per_atom": 0.00, "dos_ef_per_ev_atom": 0.50, "crystal_system": "monoclinic", "total_energy_ev_per_cell": -70.01, "lattice_angstrom": [[3.729, -6.479, 0.000], [3.729, 6.479, 0.000], [-2.510, 0.000, 7.014]], "species": ["Ac", "Ac", "Tb", "Pr", "Pr", "Pr", "Se", "Se", "Se", "Se", "Se", "Se"], "fractional_positions": [[0.166, 0.834, 0.000], [0.834, 0.166, 0.000], [0.500, 0.500, 0.000], [0.000, 0.000, 0.500], [0.326, 0.674, 0.500], [0.674, 0.326, 0.500], [0.099, 0.418, 0.751], [0.268, 0.268, 0.257], [0.418, 0.099, 0.751], [0.582, 0.901, 0.249], [0.732, 0.732, 0.743], [0.901, 0.582, 0.249]]}

=====

{"formula": "VNi2Pd2", "functional": "PBE", "state": "relaxed", "space_group": "P4/mbm", "vol_a3_per_cell": 137, "magmom_total_mub_per_atom": 0.12, "e_form_ev_per_fu": 0.2, "dos_ef_per_ev_atom": 1.25, "crystal_system": "tetragonal", "total_energy_ev_per_cell": -61.72, "lattice_angstrom": [[6.001, 0.000, 0.000], [0.000, 6.001, 0.000], [0.000, 0.000, 3.796]], "species": ["V", "V", "Ni", "Ni", "Ni", "Ni", "Pd", "Pd", "Pd", "Pd"], "fractional_positions": [[0.000, 0.000, 0.000], [0.500, 0.500, 0.000], [0.135, 0.365, 0.000], [0.365, 0.865, 0.000], [0.635, 0.135, 0.000], [0.865, 0.635, 0.000], [0.168, 0.668, 0.500], [0.332, 0.168, 0.500], [0.668, 0.832, 0.500], [0.832, 0.332, 0.500]]}

=====

{"formula": "Na2SrCaAg", "functional": "PBE", "state": "relaxed", "space_group": "P4/mmm", "vol_a3_per_cell": 198, "magmom_total_mub_per_atom": 0.00, "e_form_ev_per_fu": 0.3, "dos_ef_per_ev_atom": 0.71, "crystal_system": "tetragonal", "total_energy_ev_per_cell": -8.84, "lattice_angstrom": [[5.807, 0.000, 0.000], [0.000, 5.807, 0.000], [0.000, 0.000, 5.863]], "species": ["Na", "Na", "Sr", "Ca", "Ag"], "fractional_positions": [[0.000, 0.500, 0.000], [0.500, 0.000, 0.000], [0.000, 0.000, 0.500], [0.500, 0.500, 0.500], [0.500, 0.500, 0.000]]}

=====

{"formula": "Y4ErTm2Sc", "functional": "PBE", "state": "relaxed", "space_group": "P4/mmm", "vol_a3_per_cell": 244, "magmom_total_mub_per_atom": 0.00, "e_form_ev_per_fu": 0.3, "dos_ef_per_ev_atom": 1.61, "crystal_system": "tetragonal", "total_energy_ev_per_cell": -45.37, "lattice_angstrom": [[4.964, 0.000, 0.000], [0.000, 4.964, 0.000], [0.000, 0.000, 9.895]], "species": ["Y", "Y", "Y", "Y", "Er", "Tm", "Tm", "Sc"], "fractional_positions": [[0.000, 0.500, 0.246], [0.000, 0.500, 0.754], [0.500, 0.000, 0.246], [0.500, 0.000, 0.754], [0.000, 0.000, 0.500], [0.000, 0.000, 0.000], [0.500, 0.500, 0.500], [0.500, 0.500, 0.000]]}

=====

{"formula": "Tb12In5Hg2", "functional": "PBE", "state": "relaxed", "space_group": "C2/m", "vol_a3_per_cell": 569, "magmom_total_mub_per_atom": 0.00, "e_form_ev_per_fu": -3.8, "dos_ef_per_ev_atom": 1.08, "crystal_system": "monoclinic", "total_energy_ev_per_cell": -73.64, "lattice_angstrom": [[8.656, -3.622, 0.000], [8.656, 3.622, 0.000], [-1.219, 0.000, 9.077]], "species": ["Tb", "Tb", "Tb", "Tb", "Tb", "Tb", "Tb", "Tb", "Tb", "Tb", "Tb", "Tb", "In", "In", "In", "In", "In", "Hg", "Hg"], "fractional_positions": [[0.007, 0.007, 0.190], [0.096, 0.601, 0.992], [0.098, 0.580, 0.579], [0.399, 0.904, 0.008], [0.420, 0.902, 0.421], [0.457, 0.457, 0.306], [0.543, 0.543, 0.694], [0.580, 0.098, 0.579], [0.601, 0.096, 0.992], [0.902, 0.420, 0.421], [0.904, 0.399, 0.008], [0.993, 0.993, 0.810], [0.200, 0.200, 0.736], [0.271, 0.271, 0.252], [0.500, 0.500, 0.000], [0.729, 0.729, 0.748], [0.800, 0.800, 0.264], [0.187, 0.813, 0.500], [0.813, 0.187, 0.500]]}